1.
Below is a relaxed Cs3SnPSe7 crystal, with properties calculated at the PBE level.

Calculated values
- Total magnetic moment: 0.00 μB/f.u.
- Calculated volume: 937.5 Å³/cell
- Uncorrected energy: -45.11 eV per formula unit
- Formation energy from raw total energies: -0.728 eV/atom

abc: 7.705 10.431 12.714
angles: 78.83 88.15 69.38
Space group P-1 (No. 2)
One atom of each set of equivalent atoms:
1 Cs 0.045 0.487 0.292 [2 per cell]
2 Cs 0.326 0.876 0.103 [2 per cell]
3 Cs 0.377 0.817 0.486 [2 per cell]
4 Sn 0.402 0.572 0.868 [2 per cell]
5 P 0.228 0.061 0.724 [2 per cell]
6 Se 0.042 0.932 0.705 [2 per cell]
7 Se 0.076 0.769 0.869 [2 per cell]
8 Se 0.124 0.196 0.565 [2 per cell]
9 Se 0.153 0.162 0.863 [2 per cell]
10 Se 0.334 0.396 0.029 [2 per cell]
11 Se 0.477 0.487 0.697 [2 per cell]
12 Se 0.482 0.079 0.268 [2 per cell]

2.
Below is a relaxed Cs2SnP2Se6 crystal, with properties calculated at the PBE level.

Calculated values
- Total magnetic moment: 0.00 μB/f.u.
- Calculated volume: 1083.3 Å³/cell
- Uncorrected energy: -43.24 eV per formula unit
- Formation energy from raw total energies: -0.528 eV/atom

abc: 7.5029 7.5029 22.2215
angles: 90.00 90.00 120.00
Space group R-3m (No. 166, hexagonal axes)
One atom of each set of equivalent atoms:
1 Cs 0.0000 0.0000 0.2414 [6 per cell]
2 Sn 0.0000 0.0000 0.0000 [3 per cell]
3 P 0.0000 0.0000 0.4456 [6 per cell]
4 Se 0.0022 0.5011 0.7585 [18 per cell]

3.
Below is a relaxed CsSnPSe6 crystal, with properties calculated at the PBE level.

Calculated values
- Total magnetic moment: 0.00 μB/f.u.
- Calculated volume: 308.4 Å³/cell
- Uncorrected energy: -32.48 eV per formula unit
- Formation energy from raw total energies: -0.145 eV/atom

abc: 6.3381 6.3381 8.8631
angles: 90.00 90.00 120.00
Space group P312 (No. 149)
One atom of each set of equivalent atoms:
1 Cs 0.0000 0.0000 0.0000 [1 per cell]
2 Sn 0.3333 0.6667 0.5000 [1 per cell]
3 P 0.6667 0.3333 0.5000 [1 per cell]
4 Se 0.3727 0.0395 0.6710 [6 per cell]

4.
Below is a relaxed Cs2SrP2Se6 crystal, with properties calculated at the PBE level.

Calculated values
- Total magnetic moment: 0.00 μB/f.u.
- Calculated volume: 785.4 Å³/cell
- Uncorrected energy: -43.28 eV per formula unit
- Formation energy from raw total energies: -0.742 eV/atom

abc: 13.039 7.634 9.539
angles: 90.00 124.19 90.00
Space group C2/m (No. 12)
One atom of each set of equivalent atoms:
1 Cs 0.219 0.000 0.190 [4 per cell]
2 Sr 0.000 0.000 0.500 [2 per cell]
3 P 0.113 0.500 0.317 [4 per cell]
4 Se 0.008 0.266 0.760 [8 per cell]
5 Se 0.216 0.500 0.196 [4 per cell]

5.
Below is a relaxed CsSrPSe4 crystal, with properties calculated at the PBE level.

Calculated values
- Total magnetic moment: 0.00 μB/f.u.
- Calculated volume: 480.0 Å³/cell
- Uncorrected energy: -29.12 eV per formula unit
- Formation energy from raw total energies: -1.034 eV/atom

abc: 7.042 7.182 10.011
angles: 90.00 108.55 90.00
Space group P2_1/m (No. 11)
One atom of each set of equivalent atoms:
1 Cs 0.238 0.250 0.431 [2 per cell]
2 Sr 0.263 0.250 0.954 [2 per cell]
3 P 0.308 0.750 0.178 [2 per cell]
4 Se 0.118 0.750 0.318 [2 per cell]
5 Se 0.127 0.750 0.951 [2 per cell]
6 Se 0.490 0.002 0.781 [4 per cell]

6.
Below is a relaxed Cs2SrPSe4 crystal, with properties calculated at the PBE level.

Calculated values
- Total magnetic moment: 0.00 μB/f.u.
- Calculated volume: 2781.5 Å³/cell
- Uncorrected energy: -29.67 eV per formula unit
- Formation energy from raw total energies: -0.867 eV/atom

abc: 6.939 14.887 26.924
angles: 90.00 90.00 90.00
Space group Fddd (No. 70, origin choice 2)
One atom of each set of equivalent atoms:
1 Cs 0.125 0.125 0.309 [16 per cell]
2 Sr 0.125 0.125 0.125 [8 per cell]
3 P 0.125 0.125 0.625 [8 per cell]
4 Se 0.064 0.277 0.825 [32 per cell]

7.
Below is a relaxed CsTePSe3 crystal, with properties calculated at the PBE level.

Calculated values
- Total magnetic moment: 0.00 μB/f.u.
- Calculated volume: 857.7 Å³/cell
- Uncorrected energy: -22.55 eV per formula unit
- Formation energy from raw total energies: -0.449 eV/atom

abc: 13.378 7.659 9.164
angles: 90.00 114.02 90.00
Space group C2/m (No. 12)
One atom of each set of equivalent atoms:
1 Cs 0.195 0.000 0.257 [4 per cell]
2 Te 0.000 0.308 0.500 [4 per cell]
3 P 0.023 0.500 0.135 [4 per cell]
4 Se 0.071 0.271 0.832 [8 per cell]
5 Se 0.197 0.500 0.266 [4 per cell]

8.
Below is a relaxed Cs4Th2P5Se17 crystal, with properties calculated at the PBE level.

Calculated values
- Total magnetic moment: 0.00 μB/f.u.
- Calculated volume: 3841.2 Å³/cell
- Uncorrected energy: -127.66 eV per formula unit
- Formation energy from raw total energies: -0.826 eV/atom

abc: 10.395 33.306 11.162
angles: 90.00 96.29 90.00
Space group P2_1/c (No. 14)
One atom of each set of equivalent atoms:
1 Cs 0.174 0.056 0.155 [4 per cell]
2 Cs 0.198 0.226 0.167 [4 per cell]
3 Cs 0.303 0.565 0.260 [4 per cell]
4 Cs 0.311 0.731 0.289 [4 per cell]
5 Th 0.211 0.107 0.661 [4 per cell]
6 Th 0.351 0.599 0.790 [4 per cell]
7 P 0.001 0.163 0.862 [4 per cell]
8 P 0.022 0.529 0.947 [4 per cell]
9 P 0.140 0.634 0.520 [4 per cell]
10 P 0.381 0.186 0.504 [4 per cell]
11 P 0.482 0.137 0.411 [4 per cell]
12 Se 0.006 0.727 0.619 [4 per cell]
13 Se 0.032 0.080 0.443 [4 per cell]
14 Se 0.064 0.638 0.822 [4 per cell]
15 Se 0.071 0.645 0.333 [4 per cell]
16 Se 0.114 0.027 0.721 [4 per cell]
17 Se 0.166 0.571 0.573 [4 per cell]
18 Se 0.171 0.172 0.471 [4 per cell]
19 Se 0.197 0.136 0.914 [4 per cell]
20 Se 0.229 0.525 0.918 [4 per cell]
21 Se 0.312 0.646 0.019 [4 per cell]
22 Se 0.321 0.665 0.600 [4 per cell]
23 Se 0.427 0.072 0.846 [4 per cell]
24 Se 0.428 0.080 0.505 [4 per cell]
25 Se 0.432 0.139 0.219 [4 per cell]
26 Se 0.433 0.169 0.699 [4 per cell]
27 Se 0.440 0.244 0.447 [4 per cell]
28 Se 0.460 0.520 0.748 [4 per cell]

9.
Below is a relaxed Cs2TlPSe4 crystal, with properties calculated at the PBE level.

Calculated values
- Total magnetic moment: 0.00 μB/f.u.
- Calculated volume: 2468.9 Å³/cell
- Uncorrected energy: -27.46 eV per formula unit
- Formation energy from raw total energies: -0.505 eV/atom

abc: 6.498 15.117 25.134
angles: 90.00 90.00 90.00
Space group Fddd (No. 70, origin choice 2)
One atom of each set of equivalent atoms:
1 Cs 0.125 0.125 0.306 [16 per cell]
2 Tl 0.125 0.125 0.125 [8 per cell]
3 P 0.125 0.125 0.625 [8 per cell]
4 Se 0.101 0.277 0.819 [32 per cell]

10.
Below is a relaxed CsTlPSe3 crystal, with properties calculated at the PBE level.

Calculated values
- Total magnetic moment: 0.00 μB/f.u.
- Calculated volume: 874.0 Å³/cell
- Uncorrected energy: -22.10 eV per formula unit
- Formation energy from raw total energies: -0.503 eV/atom

abc: 12.659 8.732 9.394
angles: 90.00 122.68 90.00
Space group C2/m (No. 12)
One atom of each set of equivalent atoms:
1 Cs 0.192 0.000 0.214 [4 per cell]
2 Tl 0.000 0.187 0.500 [4 per cell]
3 P 0.022 0.500 0.137 [4 per cell]
4 Se 0.073 0.292 0.853 [8 per cell]
5 Se 0.228 0.500 0.323 [4 per cell]

11.
Below is a relaxed CsTlPSe4 crystal, with properties calculated at the PBE level.

Calculated values
- Total magnetic moment: 0.00 μB/f.u.
- Calculated volume: 470.7 Å³/cell
- Uncorrected energy: -25.64 eV per formula unit
- Formation energy from raw total energies: -0.438 eV/atom

abc: 6.731 7.420 9.929
angles: 90.00 108.33 90.00
Space group P2_1/m (No. 11)
One atom of each set of equivalent atoms:
1 Cs 0.237 0.250 0.418 [2 per cell]
2 Tl 0.270 0.250 0.976 [2 per cell]
3 P 0.343 0.750 0.189 [2 per cell]
4 Se 0.137 0.750 0.964 [2 per cell]
5 Se 0.171 0.750 0.342 [2 per cell]
6 Se 0.445 0.009 0.781 [4 per cell]

12.
Below is a relaxed CsTl2PSe4 crystal, with properties calculated at the PBE level.

Calculated values
- Total magnetic moment: 0.00 μB/f.u.
- Calculated volume: 933.6 Å³/cell
- Uncorrected energy: -26.26 eV per formula unit
- Formation energy from raw total energies: -0.166 eV/atom

abc: 12.265 12.397 8.667
angles: 90.00 134.89 90.00
Space group C2/c (No. 15)
One atom of each set of equivalent atoms:
1 Cs 0.000 0.000 0.000 [4 per cell]
2 Tl 0.000 0.500 0.000 [4 per cell]
3 Tl 0.250 0.250 0.000 [4 per cell]
4 P 0.250 0.250 0.500 [4 per cell]
5 Se 0.000 0.266 0.043 [8 per cell]
6 Se 0.214 0.475 0.464 [8 per cell]